1.
SnPdAu5 | PBE | relaxed

Cell: 7.411 5.528 6.639 Å, 114.60 123.92 90.00°
Atoms (fractional coordinates):
1 Au 0.154 0.252 0.000
2 Au 0.154 0.748 0.000
3 Au 0.820 0.500 0.000
4 Au 0.816 0.761 0.522
5 Au 0.294 0.239 0.478
6 Sn 0.462 0.500 0.000
7 Pd 0.830 0.000 0.000

## Properties
Calculated total energy ... -23.31 eV/f.u.
Density of states at the Fermi level ... 2.69 states/eV/f.u.
Total magnetic moment ... 0.000 μB per atom

---

2.
SnPd2Au8 | PBE | relaxed

Cell: 4.182 6.551 7.783 Å, 104.91 105.59 90.00°
Atoms (fractional coordinates):
1 Au 0.404 0.543 0.808
2 Au 0.684 0.911 0.368
3 Au 0.951 0.277 0.902
4 Au 0.596 0.457 0.192
5 Au 0.049 0.723 0.098
6 Au 0.316 0.089 0.632
7 Au 0.859 0.807 0.717
8 Au 0.141 0.193 0.283
9 Pd 0.773 0.363 0.545
10 Pd 0.227 0.637 0.455
11 Sn 0.500 0.000 0.000

## Properties
Calculated total energy ... -41.24 eV/f.u.
Offset from the most stable computed form ... 0 meV/atom
Density of states at the Fermi level ... 4.89 states/eV/f.u.
Total magnetic moment ... 0.000 μB per atom